Entry from the Alexandria database: a geometry-optimized AlRuS structure (PBE).

a = 5.573 Å, b = 2.941 Å, c = 5.593 Å
α = 90.00°, β = 98.61°, γ = 90.00°
Space group Pm (No. 6)
Asymmetric unit:
1 Al 0.000 0.000 0.000
2 Al 0.467 0.000 0.833
3 Ru 0.376 0.500 0.214
4 Ru 0.778 0.500 0.629
5 S 0.195 0.500 0.569
6 S 0.707 0.000 0.300

## Properties
- polymorph energy (0 for the lowest one) (eV per atom) = 0.1177
- M_tot (μB per atom) = 0.000
- calculated total energy (eV per atom) = -6.102